# Ga2PPd5

A relaxed Ga2PPd5 crystal (PBE-GGA, the Alexandria database).

Properties
The calculation puts the formation enthalpy at 0 K at -2.48 eV per formula unit. The value obtained for the volume is 325.53 Å³/cell. The calculation puts the density of states at the Fermi level at 1.89 states/eV/f.u. As for the total energy: -0.1833 Ha/atom. The calculation puts the relative energy among the computed polymorphs at 178 kJ/mol of formula units. As for the mass density: 7.2 g/cm³.

a b c (Å): 4.208 7.267 11.121
angles (deg): 90.00 90.00 106.83
Atoms (fractional coordinates):
Pd 0.049 0.099 0.388
Pd 0.951 0.901 0.612
Pd 0.951 0.901 0.888
Pd 0.257 0.514 0.750
Pd 0.049 0.099 0.112
Pd 0.739 0.478 0.922
Pd 0.261 0.522 0.078
Pd 0.261 0.522 0.422
Pd 0.739 0.478 0.578
Pd 0.743 0.486 0.250
Ga 0.873 0.746 0.409
Ga 0.127 0.254 0.909
Ga 0.127 0.254 0.591
Ga 0.873 0.746 0.091
P 0.831 0.661 0.750
P 0.169 0.339 0.250